The following is a DFT calculation (PBEsol) of a relaxed structure of PmSmAl2.

```
data_PmSmAl2
_chemical_formula_sum 'Pm4 Sm4 Al8'
_symmetry_space_group_name_H-M 'F m -3 m'
_symmetry_Int_Tables_number 225
_symmetry_space_group_name_Hall '-F 4 2 3'
_cell_length_a 7.2781
_cell_length_b 7.2781
_cell_length_c 7.2781
_cell_angle_alpha 90.00
_cell_angle_beta 90.00
_cell_angle_gamma 90.00
loop_
_atom_site_label
_atom_site_type_symbol
_atom_site_fract_x
_atom_site_fract_y
_atom_site_fract_z
Pm1 Pm 0.0000 0.0000 0.0000
Sm1 Sm 0.0000 0.0000 0.5000
Al1 Al 0.2500 0.2500 0.2500
```

Summary:
final energy: -4.98 eV/atom
formation energy: -0.3733 eV per atom
size of the total moment: 0.00 μB per formula unit